[1]
This record from the Alexandria database describes a relaxed BiPdPtSe2 crystal. The functional is PBE-GGA.

Unit cell a=5.487 b=5.487 c=5.071 alpha=90.00 beta=90.00 gamma=90.00
Space group P4/mmm (No. 123)
Symmetry-distinct sites (fractional):
1 Bi 0.000 0.000 0.000
2 Pd 0.500 0.500 0.500
3 Pt 0.000 0.000 0.500
4 Se 0.000 0.500 0.000

ΔE_f (raw), kcal/mol of atoms: 24.15

---

[2]
This record from the Alexandria database describes a relaxed In2PS crystal. The functional is PBE-GGA.

Unit cell a=4.2974 b=4.2974 c=7.1250 alpha=90.00 beta=90.00 gamma=120.00
Space group P3m1 (No. 156)
Symmetry-distinct sites (fractional):
1 In 0.0000 0.0000 0.0000
2 In 0.3333 0.6667 0.4892
3 P 0.3333 0.6667 0.1108
4 S 0.0000 0.0000 0.6306

ΔE_f (raw), kcal/mol of atoms: -4.31

---

[3]
This record from the Alexandria database describes a relaxed PuTh2S6 crystal. The functional is PBE-GGA.

Unit cell a=6.372 b=6.372 c=12.798 alpha=90.00 beta=90.00 gamma=90.00
Space group P4_2/mnm (No. 136)
Symmetry-distinct sites (fractional):
1 Pu 0.000 0.000 0.000
2 Th 0.000 0.000 0.334
3 S 0.190 0.190 0.162
4 S 0.197 0.197 0.500

ΔE_f (raw), kcal/mol of atoms: -37.95

---

[4]
This record from the Alexandria database describes a relaxed TiSi3Ni crystal. The functional is PBE-GGA.

Unit cell a=4.690 b=4.690 c=4.690 alpha=90.00 beta=90.00 gamma=90.00
Space group Pm-3m (No. 221)
Symmetry-distinct sites (fractional):
1 Ti 0.000 0.000 0.000
2 Si 0.000 0.000 0.500
3 Ni 0.500 0.500 0.500

ΔE_f (raw), kcal/mol of atoms: 23.09

---

[5]
This record from the Alexandria database describes a relaxed HfTiHg2 crystal. The functional is PBE-GGA.

Unit cell a=7.650 b=7.650 c=5.973 alpha=90.00 beta=90.00 gamma=90.00
Space group I-42d (No. 122)
Symmetry-distinct sites (fractional):
1 Hf 0.000 0.000 0.000
2 Ti 0.000 0.000 0.500
3 Hg 0.236 0.250 0.625

Formation energy from the elements, meV per atom: 336

---

[6]
This record from the Alexandria database describes a relaxed La2CrCl crystal. The functional is PBE-GGA.

Unit cell a=4.453 b=6.194 c=8.148 alpha=90.00 beta=90.00 gamma=90.00
Space group Immm (No. 71)
Symmetry-distinct sites (fractional):
1 La 0.000 0.000 0.242
2 Cr 0.000 0.500 0.000
3 Cl 0.000 0.500 0.500

ΔE_f (raw), kcal/mol of atoms: -4.69

---

[7]
This record from the Alexandria database describes a relaxed LiAc3La12 crystal. The functional is PBE-GGA.

Unit cell a=5.348 b=5.348 c=20.857 alpha=90.00 beta=90.00 gamma=90.00
Space group P4/mmm (No. 123)
Symmetry-distinct sites (fractional):
1 Li 0.000 0.000 0.000
2 Ac 0.000 0.000 0.242
3 Ac 0.000 0.000 0.500
4 La 0.000 0.500 0.118
5 La 0.000 0.500 0.372
6 La 0.500 0.500 0.000
7 La 0.500 0.500 0.240
8 La 0.500 0.500 0.500

Formation energy from the elements, meV per atom: 39

---

[8]
This record from the Alexandria database describes a relaxed Sc3Te crystal. The functional is PBE-GGA.

Unit cell a=3.661 b=4.670 c=5.471 alpha=90.00 beta=90.00 gamma=90.00
Space group Pmm2 (No. 25)
Symmetry-distinct sites (fractional):
1 Sc 0.000 0.000 0.000
2 Sc 0.000 0.500 0.402
3 Sc 0.500 0.000 0.533
4 Te 0.500 0.500 0.882

ΔE_f (raw), kcal/mol of atoms: -9.72

---

[9]
This record from the Alexandria database describes a relaxed Y2NiAg crystal. The functional is PBE-GGA.

Unit cell a=12.046 b=3.410 c=4.711 alpha=90.00 beta=112.90 gamma=90.00
Space group Cm (No. 8)
Symmetry-distinct sites (fractional):
1 Y 0.000 0.000 0.000
2 Y 0.209 0.000 0.709
3 Ni 0.495 0.000 0.495
4 Ag 0.298 0.500 0.298

Formation energy from the elements, meV per atom: -182

---

[10]
This record from the Alexandria database describes a relaxed Ti3BRu crystal. The functional is PBE-GGA.

Unit cell a=4.216 b=4.216 c=4.216 alpha=90.00 beta=90.00 gamma=90.00
Space group Pm-3m (No. 221)
Symmetry-distinct sites (fractional):
1 Ti 0.000 0.000 0.500
2 B 0.000 0.000 0.000
3 Ru 0.500 0.500 0.500

Formation energy from the elements, meV per atom: -101

---

[11]
This record from the Alexandria database describes a relaxed NaTiRe2P crystal. The functional is PBE-GGA.

Unit cell a=4.431 b=4.431 c=4.672 alpha=90.00 beta=90.00 gamma=90.00
Space group P4/mmm (No. 123)
Symmetry-distinct sites (fractional):
1 Na 0.000 0.000 0.000
2 Ti 0.500 0.500 0.000
3 Re 0.000 0.500 0.500
4 P 0.500 0.500 0.500

Formation energy from the elements, meV per atom: 691

---

[12]
This record from the Alexandria database describes a relaxed MgCrTe crystal. The functional is PBE-GGA.

Unit cell a=4.5281 b=4.5281 c=4.0741 alpha=90.00 beta=90.00 gamma=120.00
Space group P3m1 (No. 156)
Symmetry-distinct sites (fractional):
1 Mg 0.0000 0.0000 0.0000
2 Cr 0.6667 0.3333 0.3870
3 Te 0.3333 0.6667 0.5602

ΔE_f (raw), kcal/mol of atoms: 4.76

---

Number 1: calculated volume 153 Å³/cell. Number 2: calculated volume 114 Å³/cell. Number 3: calculated volume 520 Å³/cell. Number 4: calculated volume 103 Å³/cell. Number 5: calculated volume 350 Å³/cell. Number 6: calculated volume 225 Å³/cell. Number 7: calculated volume 596 Å³/cell. Number 8: calculated volume 94 Å³/cell. Number 9: calculated volume 178 Å³/cell. Number 10: calculated volume 75 Å³/cell. Number 11: calculated volume 92 Å³/cell. Number 12: calculated volume 72 Å³/cell.